[1]
{
  "formula": "K4Tl5Cd3",
  "functional": "PBE-GGA",
  "state": "optimized geometry",
  "crystal_system": "monoclinic",
  "spacegroup": "C2/m (12)",
  "cell": [[5.574, 0.000, 1.200], [2.756, 6.576, 0.741], [0.230, -0.318, 12.477]],
  "species": ["Cd", "Cd", "Cd", "Tl", "Tl", "Tl", "Tl", "Tl", "K", "K", "K", "K"],
  "fractional_positions": [[0.177, 0.391, 0.254], [0.500, 0.500, 0.500], [0.823, 0.609, 0.746], [0.564, 0.000, 0.873], [0.577, 0.590, 0.255], [0.436, 0.000, 0.127], [0.000, 0.500, 0.500], [0.423, 0.410, 0.745], [0.827, 0.001, 0.345], [0.150, 0.696, 0.004], [0.173, 0.999, 0.655], [0.850, 0.304, 0.996]]
}



[2]
{
  "formula": "K2TlCd2",
  "functional": "PBE-GGA",
  "state": "optimized geometry",
  "e_above_lowest_polymorph_ev_per_atom": 0.000,
  "crystal_system": "monoclinic",
  "spacegroup": "C2/c (15)",
  "cell": [[-1.920, 5.300, -3.990], [-0.022, -6.302, -2.383], [-8.336, 0.236, 4.325]],
  "species": ["K", "K", "K", "K", "Cd", "Cd", "Cd", "Cd", "Tl", "Tl"],
  "fractional_positions": [[0.220, 0.699, 0.349], [0.780, 0.301, 0.651], [0.478, 0.699, 0.849], [0.522, 0.301, 0.151], [0.729, 0.736, 0.501], [0.007, 0.736, 0.001], [0.271, 0.264, 0.499], [0.993, 0.264, 0.999], [0.128, 0.000, 0.750], [0.872, 0.000, 0.250]]
}



[3]
{
  "formula": "KTl4Cd",
  "functional": "PBE-GGA",
  "state": "optimized geometry",
  "e_above_lowest_polymorph_ev_per_atom": 0.041,
  "crystal_system": "orthorhombic",
  "spacegroup": "Immm (71)",
  "cell": [[4.123, 5.023, 7.176], [-5.756, 5.810, 5.181], [1.441, -9.147, -2.825]],
  "species": ["Cd", "Cd", "Tl", "Tl", "Tl", "Tl", "Tl", "Tl", "Tl", "Tl", "K", "K"],
  "fractional_positions": [[0.500, 0.237, 0.737], [0.500, 0.763, 0.263], [0.890, 0.114, 0.775], [0.187, 0.500, 0.687], [0.110, 0.886, 0.225], [0.339, 0.114, 0.225], [0.330, 0.330, 0.000], [0.661, 0.886, 0.775], [0.670, 0.670, 0.000], [0.813, 0.500, 0.313], [0.796, 0.296, 0.500], [0.204, 0.704, 0.500]]
}



Quick rundown of E_form, same order as above: -0.04, -0.09, -0.02 eV per atom
Quick rundown of E, same order as above: -1.62, -1.36, -1.93 eV/atom